(1)
## AlCoB2As (PBE)

Data for an optimized crystal structure of AlCoB2As.

a b c (Å): 4.035 4.035 4.503
angles (deg): 90.00 90.00 90.00
Space group P4/mmm (No. 123)
Asymmetric unit:
Al  0.000  0.000  0.000 [1 per cell]
Co  0.500  0.500  0.000 [1 per cell]
B  0.000  0.500  0.500 [2 per cell]
As  0.500  0.500  0.500 [1 per cell]

(2)
## ErGa2Pd9 (PBE)

Data for an optimized crystal structure of ErGa2Pd9.

a b c (Å): 4.014 4.014 11.792
angles (deg): 90.00 90.00 90.00
Space group P4/mmm (No. 123)
Asymmetric unit:
Er  0.000  0.000  0.000 [1 per cell]
Ga  0.000  0.000  0.342 [2 per cell]
Pd  0.000  0.500  0.179 [4 per cell]
Pd  0.000  0.500  0.500 [2 per cell]
Pd  0.500  0.500  0.000 [1 per cell]
Pd  0.500  0.500  0.339 [2 per cell]

Number 1: size of the total moment 0.00 Bohr magnetons per cell, calculated formation energy 1443 meV per atom. Number 2: size of the total moment 0.00 Bohr magnetons per cell, calculated formation energy -601 meV per atom.